VASP calculation (GGA-PBE) on a relaxed structure of Pr3Eu.

The space group is Pmm2 (No. 25) and the conventional cell measures 3.763, 6.044 and 6.564 Å, with angles of 90.00, 90.00 and 90.00 degrees. The asymmetric unit holds Pr at (0.000, 0.000, 0.000), Pr at (0.000, 0.500, 0.325), Pr at (0.500, 0.000, 0.487) and Eu at (0.500, 0.500, 0.822).

As for the energy above the most stable polymorph in this dataset: 0.01 eV per formula unit. For the raw total energy, the calculation gives -24.4 eV per formula unit.